Entry 1:
# RePdN2

A relaxed RePdN2 crystal (PBE, Alexandria via LeMat-Bulk).

Cell lengths 3.857, 3.857, 3.857 Å; angles 60.00, 60.00, 60.00 degrees
Fractional positions:
Re: 0.000 0.000 0.000
Pd: 0.500 0.500 0.500
N: 0.250 0.250 0.250
N: 0.750 0.750 0.750

Its symmetry is No. 225. The calculation puts the polymorph energy (0 for the lowest one) at 1099 meV/atom.



Entry 2:
# Re3PdN

A relaxed Re3PdN crystal (PBE, Alexandria via LeMat-Bulk).

Cell lengths 4.739, 4.739, 4.739 Å; angles 90.00, 90.00, 90.00 degrees
Fractional positions:
Re: 0.000 0.000 0.500
Re: 0.000 0.500 0.000
Re: 0.500 0.000 0.000
Pd: 0.000 0.000 0.000
N: 0.500 0.500 0.500

Its symmetry is No. 221. The calculation puts the polymorph energy (0 for the lowest one) at 3569 meV/atom.



Entry 3:
# RePdN2

A relaxed RePdN2 crystal (PBE, Alexandria via LeMat-Bulk).

Cell lengths 6.745, 6.745, 6.745 Å; angles 24.50, 24.50, 24.50 degrees
Fractional positions:
Re: 0.000 0.000 0.000
Pd: 0.500 0.500 0.500
N: 0.397 0.397 0.397
N: 0.603 0.603 0.603

Its symmetry is No. 166. The calculation puts the polymorph energy (0 for the lowest one) at 0 meV/atom.



Entry 4:
# Re3PdN

A relaxed Re3PdN crystal (PBE, Alexandria via LeMat-Bulk).

Cell lengths 4.062, 4.062, 4.062 Å; angles 90.00, 90.00, 90.00 degrees
Fractional positions:
Re: 0.000 0.000 0.500
Re: 0.000 0.500 0.000
Re: 0.500 0.000 0.000
Pd: 0.500 0.500 0.500
N: 0.000 0.000 0.000

Its symmetry is No. 221. The calculation puts the polymorph energy (0 for the lowest one) at 0 meV/atom.



Entry 5:
# RePd2N

A relaxed RePd2N crystal (PBE, Alexandria via LeMat-Bulk).

Cell lengths 5.901, 5.901, 5.901 Å; angles 96.21, 96.21, 141.61 degrees
Fractional positions:
Re: 0.000 0.000 0.000
Re: 0.750 0.250 0.500
Pd: 0.245 0.625 0.120
Pd: 0.375 0.495 0.620
Pd: 0.505 0.125 0.880
Pd: 0.875 0.755 0.380
N: 0.250 0.750 0.500
N: 0.500 0.500 0.000

Its symmetry is No. 122.



Entry 6:
# Re2Pd2N

A relaxed Re2Pd2N crystal (PBE, Alexandria via LeMat-Bulk).

Cell lengths 6.948, 6.948, 6.948 Å; angles 151.23, 151.23, 41.13 degrees
Fractional positions:
Re: 0.090 0.090 0.000
Re: 0.910 0.910 0.000
Pd: 0.250 0.750 0.500
Pd: 0.750 0.250 0.500
N: 0.500 0.500 0.000

Its symmetry is No. 139. The calculation puts the polymorph energy (0 for the lowest one) at 1323 meV/atom.



Number 1: formation energy (no corrections) 1312 meV per atom. Number 2: formation energy (no corrections) 3844 meV per atom. Number 3: formation energy (no corrections) 213 meV per atom. Number 4: formation energy (no corrections) 274 meV per atom. Number 5: formation energy (no corrections) 759 meV per atom. Number 6: formation energy (no corrections) 1595 meV per atom.